1.
A plane-wave DFT calculation with GGA-PBEsol was carried out for a relaxed Sr3PrMn4O12 crystal.

Values from the calculation:
**Formation energy (no corrections)**: -2.39 eV/atom
**SG**: No. 38
**Energy above the most stable polymorph in this dataset**: 0 meV per atom
**Fermi-level density of states**: 2.3 states/eV/cell

Lattice parameters (Å, degrees): 5.401 5.401 7.552 90.00 90.00 91.03
Each line ends with the local moment (μB).
Fractional positions:
Sr 0.503 0.497 0.000  0.01
Sr 0.500 0.500 0.500  0.01
Sr 0.000 0.000 0.000  0.01
Pr 0.996 0.004 0.500  0.03
Mn 0.499 0.000 0.751  2.90
Mn 0.000 0.501 0.249  2.90
Mn 0.000 0.501 0.751  2.90
Mn 0.499 0.000 0.249  2.90
O 0.246 0.245 0.257  0.06
O 0.755 0.754 0.743  0.06
O 0.246 0.245 0.743  0.06
O 0.755 0.754 0.257  0.06
O 0.033 0.529 0.000  0.08
O 0.539 0.028 0.500  0.05
O 0.972 0.461 0.500  0.05
O 0.471 0.967 0.000  0.08
O 0.243 0.757 0.713  0.05
O 0.751 0.249 0.224  0.07
O 0.243 0.757 0.287  0.05
O 0.751 0.249 0.776  0.07

2.
A plane-wave DFT calculation with GGA-PBEsol was carried out for a relaxed YPdSN2 crystal.

Values from the calculation:
**Formation energy (no corrections)**: 0.18 eV/atom
**SG**: No. 123
**Fermi-level density of states**: 4.1 states/eV/cell

Lattice parameters (Å, degrees): 3.956 3.956 4.666 90.00 90.00 90.00
Each line ends with the local moment (μB).
Fractional positions:
Y 0.500 0.500 0.500  0.00
S 0.000 0.000 0.500  0.05
Pd 0.000 0.000 0.000  0.24
N 0.000 0.500 0.000  0.38
N 0.500 0.000 0.000  0.38

3.
A plane-wave DFT calculation with GGA-PBEsol was carried out for a relaxed TaSbCN2 crystal.

Values from the calculation:
**Formation energy (no corrections)**: 1.39 eV/atom
**SG**: No. 123
**Fermi-level density of states**: 4.4 states/eV/cell

Lattice parameters (Å, degrees): 3.856 3.856 5.872 90.00 90.00 90.00
Each line ends with the local moment (μB).
Fractional positions:
Sb 0.000 0.000 0.500  -0.03
C 0.500 0.500 0.500  0.36
N 0.000 0.500 0.000  -0.09
N 0.500 0.000 0.000  -0.09
Ta 0.000 0.000 0.000  0.01

4.
A plane-wave DFT calculation with GGA-PBEsol was carried out for a relaxed LiMg2Fe crystal.

Values from the calculation:
**ΔE_f**: 0.235 eV per atom
**SG**: No. 123
**Fermi-level density of states**: 4.4 states/eV/cell

Lattice parameters (Å, degrees): 2.976 4.656 4.656 90.00 90.00 90.00
Each line ends with the local moment (μB).
Fractional positions:
Fe 0.500 0.500 0.500  2.27
Li 0.500 0.000 0.000  0.00
Mg 0.000 0.000 0.500  -0.03
Mg 0.000 0.500 0.000  -0.03

5.
A plane-wave DFT calculation with GGA-PBEsol was carried out for a relaxed GeP2Au crystal.

Values from the calculation:
**ΔE_f**: 0.010 eV per atom
**SG**: No. 122
**Fermi-level density of states**: 3.6 states/eV/cell

Lattice parameters (Å, degrees): 5.534 5.534 6.624 114.69 114.69 90.00
Fractional positions:
P 0.870 0.375 0.250
P 0.380 0.875 0.250
P 0.625 0.620 0.750
P 0.125 0.130 0.750
Ge 0.750 0.250 0.500
Ge 0.500 0.500 0.000
Au 0.250 0.750 0.500
Au 0.000 0.000 0.000

6.
A plane-wave DFT calculation with GGA-PBEsol was carried out for a relaxed AlCdAu2 crystal.

Values from the calculation:
**ΔE_f**: -0.226 eV per atom
**SG**: No. 99
**Energy above the most stable polymorph in this dataset**: 63 meV per atom
**Fermi-level density of states**: 1.1 states/eV/cell

Lattice parameters (Å, degrees): 3.557 3.557 5.553 90.00 90.00 90.00
Fractional positions:
Au 0.000 0.000 0.971
Au 0.500 0.500 0.264
Al 0.500 0.500 0.784
Cd 0.000 0.000 0.481

7.
A plane-wave DFT calculation with GGA-PBEsol was carried out for a relaxed LiNi2Ru crystal.

Values from the calculation:
**ΔE_f**: 0.233 eV per atom
**SG**: No. 225
**Energy above the most stable polymorph in this dataset**: 177 meV per atom
**Fermi-level density of states**: 5.1 states/eV/cell

Lattice parameters (Å, degrees): 4.034 4.034 4.034 60.00 60.00 60.00
Each line ends with the local moment (μB).
Fractional positions:
Li 0.000 0.000 0.000  -0.01
Ni 0.250 0.250 0.250  0.79
Ni 0.750 0.750 0.750  0.79
Ru 0.500 0.500 0.500  1.33

8.
A plane-wave DFT calculation with GGA-PBEsol was carried out for a relaxed SrIrN2F crystal.

Values from the calculation:
**Formation energy (no corrections)**: 1.74 eV/atom
**SG**: No. 123
**Fermi-level density of states**: 2.4 states/eV/cell

Lattice parameters (Å, degrees): 4.346 4.739 4.739 90.00 90.00 90.00
Each line ends with the local moment (μB).
Fractional positions:
Sr 0.000 0.000 0.000  0.11
N 0.000 0.000 0.500  1.27
N 0.000 0.500 0.000  1.27
Ir 0.500 0.500 0.500  2.18
F 0.500 0.000 0.000  0.07

Respective E_tot values: -160.6 -33.3 -36.8 -13.4 -40.8 -14.0 -23.5 -22.0 eV per cell.